Entry from Alexandria via LeMat-Bulk: a crystal of RbCaNO2 relaxed with PBEsol (SCAN).

The structure in extended XYZ format:
```
5
Lattice="4.4836 0.0000 0.0000 0.0000 4.4836 0.0000 0.0000 0.0000 4.7864" Properties=species:S:1:pos:R:3 pbc="T T T"
Rb 0.0000 0.0000 0.0000
Ca 2.2418 2.2418 2.3932
N 2.2418 2.2418 0.0000
O 0.0000 2.2418 2.3932
O 2.2418 0.0000 2.3932
```

Calculated values
The raw total energy is -10.97 eV per atom. Its volume is 19.24 A^3/atom. Its uncorrected formation energy is -0.54 eV/atom. The calculation puts the density of states at the Fermi level at 1.16 states/eV per cell. As for the space group: No. 123.